(1)
First-principles (PBE-GGA) data for LiCr2Ru after structural relaxation, as listed in Alexandria.

## Properties
total energy = -7.35 eV per atom
energy of formation from the pure elements = 0.2586 eV per atom
crystal system = tetragonal

CIF file:
```
data_LiCr2Ru
_space_group_name_H-M_alt 'P 4 m m'
_space_group_IT_number 99
_space_group_name_Hall 'P 4 -2'
_cell_length_a 2.953
_cell_length_b 2.953
_cell_length_c 5.895
_cell_angle_alpha 90.00
_cell_angle_beta 90.00
_cell_angle_gamma 90.00
loop_
_atom_site_label
_atom_site_type_symbol
_atom_site_fract_x
_atom_site_fract_y
_atom_site_fract_z
Li1 Li 0.000 0.000 0.000
Cr1 Cr 0.000 0.000 0.492
Cr2 Cr 0.500 0.500 0.739
Ru1 Ru 0.500 0.500 0.255
```

---

(2)
First-principles (PBE-GGA) data for Zr2MnIr after structural relaxation, as listed in Alexandria.

## Properties
total energy = -9.26 eV per atom
energy of formation from the pure elements = -0.4761 eV per atom
crystal system = orthorhombic

CIF file:
```
data_Zr2MnIr
_space_group_name_H-M_alt 'P m m a'
_space_group_IT_number 51
_space_group_name_Hall '-P 2a 2a'
_cell_length_a 4.595
_cell_length_b 3.305
_cell_length_c 9.046
_cell_angle_alpha 90.00
_cell_angle_beta 90.00
_cell_angle_gamma 90.00
loop_
_atom_site_label
_atom_site_type_symbol
_atom_site_fract_x
_atom_site_fract_y
_atom_site_fract_z
Zr1 Zr 0.250 0.000 0.117
Zr2 Zr 0.250 0.000 0.634
Mn1 Mn 0.250 0.500 0.873
Ir1 Ir 0.250 0.500 0.375
```

---

(3)
First-principles (PBE-GGA) data for PuZrH4 after structural relaxation, as listed in Alexandria.

## Properties
total energy = -6.50 eV per atom
energy relative to the lowest polymorph listed for this composition = 20 meV per atom
crystal system = orthorhombic

CIF file:
```
data_PuZrH4
_space_group_name_H-M_alt 'I m m a'
_space_group_IT_number 74
_space_group_name_Hall '-I 2b 2'
_cell_length_a 5.082
_cell_length_b 5.145
_cell_length_c 9.697
_cell_angle_alpha 90.00
_cell_angle_beta 90.00
_cell_angle_gamma 90.00
loop_
_atom_site_label
_atom_site_type_symbol
_atom_site_fract_x
_atom_site_fract_y
_atom_site_fract_z
Pu1 Pu 0.000 0.250 0.126
Zr1 Zr 0.000 0.250 0.624
H1 H 0.225 0.000 0.500
H2 H 0.250 0.029 0.750
```

---

(4)
First-principles (PBE-GGA) data for TiBeAu after structural relaxation, as listed in Alexandria.

## Properties
total energy = -5.22 eV per atom
energy of formation from the pure elements = -0.2550 eV per atom
energy relative to the lowest polymorph listed for this composition = 0 meV per atom
crystal system = hexagonal

CIF file:
```
data_TiBeAu
_space_group_name_H-M_alt 'P -6 m 2'
_space_group_IT_number 187
_space_group_name_Hall 'P -6 2'
_cell_length_a 4.1339
_cell_length_b 4.1339
_cell_length_c 2.9760
_cell_angle_alpha 90.00
_cell_angle_beta 90.00
_cell_angle_gamma 120.00
loop_
_atom_site_label
_atom_site_type_symbol
_atom_site_fract_x
_atom_site_fract_y
_atom_site_fract_z
Ti1 Ti 0.0000 0.0000 0.0000
Be1 Be 0.6667 0.3333 0.5000
Au1 Au 0.3333 0.6667 0.5000
```

---

(5)
First-principles (PBE-GGA) data for ZrTl2BiCl after structural relaxation, as listed in Alexandria.

## Properties
ΔE_f (raw) = 0.55 eV/atom
total energy = -3.25 eV per atom
crystal system = tetragonal

CIF file:
```
data_ZrTl2BiCl
_space_group_name_H-M_alt 'P 4/m m m'
_space_group_IT_number 123
_space_group_name_Hall '-P 4 2'
_cell_length_a 5.536
_cell_length_b 5.536
_cell_length_c 5.416
_cell_angle_alpha 90.00
_cell_angle_beta 90.00
_cell_angle_gamma 90.00
loop_
_atom_site_label
_atom_site_type_symbol
_atom_site_fract_x
_atom_site_fract_y
_atom_site_fract_z
Zr1 Zr 0.000 0.000 0.000
Tl1 Tl 0.000 0.500 0.500
Bi1 Bi 0.500 0.500 0.000
Cl1 Cl 0.500 0.500 0.500
```

---

(6)
First-principles (PBE-GGA) data for Ta2PIr after structural relaxation, as listed in Alexandria.

## Properties
total energy = -10.05 eV per atom
energy of formation from the pure elements = -0.5581 eV per atom
crystal system = orthorhombic

CIF file:
```
data_Ta2PIr
_space_group_name_H-M_alt 'A m m 2'
_space_group_IT_number 38
_space_group_name_Hall 'A 2 -2'
_cell_length_a 3.601
_cell_length_b 3.332
_cell_length_c 10.728
_cell_angle_alpha 90.00
_cell_angle_beta 90.00
_cell_angle_gamma 90.00
loop_
_atom_site_label
_atom_site_type_symbol
_atom_site_fract_x
_atom_site_fract_y
_atom_site_fract_z
Ta1 Ta 0.000 0.000 0.000
Ta2 Ta 0.500 0.000 0.340
P1 P 0.000 0.000 0.758
Ir1 Ir 0.500 0.000 0.609
```